(1)
Compound: ThScBe2Pt5
Source: Alexandria
Functional: PBE-GGA
Structure: optimized geometry

Values from the calculation:
E_tot: -6.620 eV/atom

```
data_ThScBe2Pt5
_symmetry_space_group_name_H-M 'P 4/m m m'
_symmetry_Int_Tables_number 123
_symmetry_space_group_name_Hall '-P 4 2'
_cell_length_a 4.0810
_cell_length_b 4.0810
_cell_length_c 8.9410
_cell_angle_alpha 90.00
_cell_angle_beta 90.00
_cell_angle_gamma 90.00
loop_
_atom_site_label
_atom_site_type_symbol
_atom_site_fract_x
_atom_site_fract_y
_atom_site_fract_z
Th1 Th 0.0000 0.0000 0.0000
Sc1 Sc 0.0000 0.0000 0.5000
Be1 Be 0.5000 0.5000 0.3740
Pt1 Pt 0.0000 0.5000 0.2561
Pt2 Pt 0.5000 0.5000 0.0000
```

=====

(2)
Compound: Rb2VZnBr6
Source: Alexandria
Functional: PBE-GGA
Structure: optimized geometry

Values from the calculation:
energy relative to the elements, uncorrected: -1119 meV per atom

```
data_Rb2VZnBr6
_symmetry_space_group_name_H-M 'F m -3 m'
_symmetry_Int_Tables_number 225
_symmetry_space_group_name_Hall '-F 4 2 3'
_cell_length_a 10.6394
_cell_length_b 10.6394
_cell_length_c 10.6394
_cell_angle_alpha 90.00
_cell_angle_beta 90.00
_cell_angle_gamma 90.00
loop_
_atom_site_label
_atom_site_type_symbol
_atom_site_fract_x
_atom_site_fract_y
_atom_site_fract_z
Rb1 Rb 0.2500 0.2500 0.2500
V1 V 0.0000 0.0000 0.0000
Zn1 Zn 0.0000 0.0000 0.5000
Br1 Br 0.0000 0.0000 0.2500
```

=====

(3)
Compound: Rb2UAgS5
Source: Alexandria
Functional: PBE-GGA
Structure: optimized geometry

Values from the calculation:
energy relative to the elements, uncorrected: -889 meV per atom

```
data_Rb2UAgS5
_symmetry_space_group_name_H-M 'C m c 21'
_symmetry_Int_Tables_number 36
_symmetry_space_group_name_Hall 'C 2c -2'
_cell_length_a 4.0536
_cell_length_b 20.0074
_cell_length_c 13.6897
_cell_angle_alpha 90.00
_cell_angle_beta 90.00
_cell_angle_gamma 90.00
loop_
_atom_site_label
_atom_site_type_symbol
_atom_site_fract_x
_atom_site_fract_y
_atom_site_fract_z
Rb1 Rb 0.0000 0.1122 0.0000
Rb2 Rb 0.0000 0.1237 0.6308
U1 U 0.0000 0.2092 0.3318
Ag1 Ag 0.0000 0.4243 0.7543
S1 S 0.0000 0.0844 0.3614
S2 S 0.0000 0.2857 0.9528
S3 S 0.0000 0.2944 0.7080
S4 S 0.0000 0.3304 0.3207
S5 S 0.0000 0.4930 0.6135
```

=====

(4)
Compound: La5Ge2
Source: Alexandria
Functional: PBE-GGA
Structure: optimized geometry

Values from the calculation:
E_tot: -5.368 eV/atom

```
data_La5Ge2
_symmetry_space_group_name_H-M 'C 1 2/c 1'
_symmetry_Int_Tables_number 15
_symmetry_space_group_name_Hall '-C 2yc'
_cell_length_a 16.6177
_cell_length_b 6.3688
_cell_length_c 8.4039
_cell_angle_alpha 90.00
_cell_angle_beta 98.13
_cell_angle_gamma 90.00
loop_
_atom_site_label
_atom_site_type_symbol
_atom_site_fract_x
_atom_site_fract_y
_atom_site_fract_z
La1 La 0.0000 0.1358 0.2500
La2 La 0.0922 0.3579 0.9359
La3 La 0.2262 0.1001 0.3286
Ge1 Ge 0.1021 0.1840 0.5894
```

=====

Number 1: total magnetic moment 0.00 Bohr magnetons per cell. Number 2: total magnetic moment 12.00 Bohr magnetons per cell. Number 3: total magnetic moment 0.00 Bohr magnetons per cell. Number 4: total magnetic moment 0.00 Bohr magnetons per cell.